No. 1
First-principles (PBE-GGA) data for a relaxed Rb2ZrOsCl6 crystal, as listed in Alexandria.

Geometry as CIF:
```
data_Rb2ZrOsCl6
_chemical_formula_sum 'Rb4 Zr2 Os2 Cl12'
_space_group_name_H-M_alt 'I 4/m m m'
_space_group_IT_number 139
_space_group_name_Hall '-I 4 2'
_cell_length_a 7.8602
_cell_length_b 7.8602
_cell_length_c 9.0939
_cell_angle_alpha 90.00
_cell_angle_beta 90.00
_cell_angle_gamma 90.00
loop_
_atom_site_label
_atom_site_type_symbol
_atom_site_fract_x
_atom_site_fract_y
_atom_site_fract_z
Rb1 Rb 0.0000 0.5000 0.2500
Zr1 Zr 0.0000 0.0000 0.0000
Os1 Os 0.0000 0.0000 0.5000
Cl1 Cl 0.0000 0.0000 0.2577
Cl2 Cl 0.2317 0.2317 0.0000
```

For the size of the total moment, the calculation gives 2.00 μB/f.u. The electronic total energy comes out at -4.290 eV per atom. The calculation puts the raw formation energy at -1.01 eV/atom.

No. 2
First-principles (PBE-GGA) data for a relaxed BePPt2 crystal, as listed in Alexandria.

Geometry as CIF:
```
data_BePPt2
_chemical_formula_sum 'Be1 P1 Pt2'
_space_group_name_H-M_alt 'P 4/m m m'
_space_group_IT_number 123
_space_group_name_Hall '-P 4 2'
_cell_length_a 2.8517
_cell_length_b 2.8517
_cell_length_c 6.5709
_cell_angle_alpha 90.00
_cell_angle_beta 90.00
_cell_angle_gamma 90.00
loop_
_atom_site_label
_atom_site_type_symbol
_atom_site_fract_x
_atom_site_fract_y
_atom_site_fract_z
Be1 Be 0.0000 0.0000 0.0000
P1 P 0.0000 0.0000 0.5000
Pt1 Pt 0.5000 0.5000 0.2170
```

For the size of the total moment, the calculation gives 0.00 μB/f.u. As for the formation energy: -0.275 eV per atom. The electronic total energy comes out at -5.579 eV per atom.

No. 3
First-principles (PBE-GGA) data for a relaxed ReSi2Os crystal, as listed in Alexandria.

Geometry as CIF:
```
data_ReSi2Os
_chemical_formula_sum 'Re1 Si2 Os1'
_space_group_name_H-M_alt 'P m m m'
_space_group_IT_number 47
_cell_length_a 2.8515
_cell_length_b 3.8352
_cell_length_c 5.1480
_cell_angle_alpha 90.00
_cell_angle_beta 90.00
_cell_angle_gamma 90.00
loop_
_space_group_symop_operation_xyz
'x,y,z'
'-x,-y,-z'
'-x,-y,z'
'x,y,-z'
'x,-y,-z'
'-x,y,z'
'-x,y,-z'
'x,-y,z'
loop_
_atom_site_label
_atom_site_type_symbol
_atom_site_fract_x
_atom_site_fract_y
_atom_site_fract_z
Re1 Re 0.0000 0.0000 0.0000
Si1 Si 0.5000 0.5000 0.2337
Os1 Os 0.5000 0.0000 0.5000
```

For the size of the total moment, the calculation gives 0.00 μB/f.u. The electronic total energy comes out at -8.588 eV per atom. The calculation puts the raw formation energy at 0.04 eV/atom.

No. 4
First-principles (PBE-GGA) data for a relaxed CeDyYIn crystal, as listed in Alexandria.

Geometry as CIF:
```
data_CeDyYIn
_chemical_formula_sum 'Ce4 Dy4 Y4 In4'
_space_group_name_H-M_alt 'F -4 3 m'
_space_group_IT_number 216
_space_group_name_Hall 'F -4 2 3'
_cell_length_a 7.7273
_cell_length_b 7.7273
_cell_length_c 7.7273
_cell_angle_alpha 90.00
_cell_angle_beta 90.00
_cell_angle_gamma 90.00
loop_
_atom_site_label
_atom_site_type_symbol
_atom_site_fract_x
_atom_site_fract_y
_atom_site_fract_z
Ce1 Ce 0.0000 0.0000 0.0000
Dy1 Dy 0.2500 0.2500 0.2500
Y1 Y 0.0000 0.0000 0.5000
In1 In 0.2500 0.2500 0.7500
```

For the size of the total moment, the calculation gives 1.23 μB/f.u. As for the formation energy: -0.104 eV per atom. The electronic total energy comes out at -5.039 eV per atom.

No. 5
First-principles (PBE-GGA) data for a relaxed Y3ErAl8 crystal, as listed in Alexandria.

Geometry as CIF:
```
data_Y3ErAl8
_chemical_formula_sum 'Y3 Er1 Al8'
_space_group_name_H-M_alt 'P 3 m 1'
_space_group_IT_number 156
_cell_length_a 5.5440
_cell_length_b 5.5440
_cell_length_c 9.1305
_cell_angle_alpha 90.00
_cell_angle_beta 90.00
_cell_angle_gamma 120.00
loop_
_space_group_symop_operation_xyz
'x,y,z'
'-y,x-y,z'
'-x+y,-x,z'
'-y,-x,z'
'-x+y,y,z'
'x,x-y,z'
loop_
_atom_site_label
_atom_site_type_symbol
_atom_site_fract_x
_atom_site_fract_y
_atom_site_fract_z
Y1 Y 0.0000 0.0000 0.0000
Y2 Y 0.0000 0.0000 0.3650
Y3 Y 0.3333 0.6667 0.8638
Er1 Er 0.3333 0.6667 0.4998
Al1 Al 0.0089 0.5044 0.1827
Al2 Al 0.3245 0.1622 0.6812
Al3 Al 0.6667 0.3333 0.4325
Al4 Al 0.6667 0.3333 0.9319
```

For the size of the total moment, the calculation gives 0.00 μB/f.u. As for the formation energy: -0.516 eV per atom. The electronic total energy comes out at -5.008 eV per atom.

No. 6
First-principles (PBE-GGA) data for a relaxed Np2NbCrN5 crystal, as listed in Alexandria.

Geometry as CIF:
```
data_Np2NbCrN5
_chemical_formula_sum 'Np8 Nb4 Cr4 N20'
_space_group_name_H-M_alt 'C m c 21'
_space_group_IT_number 36
_cell_length_a 3.1858
_cell_length_b 12.9152
_cell_length_c 10.0099
_cell_angle_alpha 90.00
_cell_angle_beta 90.00
_cell_angle_gamma 90.00
loop_
_space_group_symop_operation_xyz
'x,y,z'
'-x,-y,z+1/2'
'-x,y,z'
'x,-y,z+1/2'
'x+1/2,y+1/2,z'
'-x+1/2,-y+1/2,z+1/2'
'-x+1/2,y+1/2,z'
'x+1/2,-y+1/2,z+1/2'
loop_
_atom_site_label
_atom_site_type_symbol
_atom_site_fract_x
_atom_site_fract_y
_atom_site_fract_z
Np1 Np 0.0000 0.1054 0.0000
Np2 Np 0.0000 0.1464 0.6176
Nb1 Nb 0.0000 0.2061 0.3217
Cr1 Cr 0.0000 0.4734 0.7747
N1 N 0.0000 0.0477 0.3756
N2 N 0.0000 0.2814 0.9745
N3 N 0.0000 0.3244 0.6783
N4 N 0.0000 0.3720 0.3146
N5 N 0.0000 0.4862 0.0958
```

For the size of the total moment, the calculation gives 0.21 μB/f.u. The electronic total energy comes out at -10.652 eV per atom. The calculation puts the raw formation energy at -0.96 eV/atom.

No. 7
First-principles (PBE-GGA) data for a relaxed NaSr3Pd crystal, as listed in Alexandria.

Geometry as CIF:
```
data_NaSr3Pd
_chemical_formula_sum 'Na8 Sr24 Pd8'
_space_group_name_H-M_alt 'C 1 2/c 1'
_space_group_IT_number 15
_cell_length_a 13.8230
_cell_length_b 16.7707
_cell_length_c 7.4960
_cell_angle_alpha 90.00
_cell_angle_beta 91.26
_cell_angle_gamma 90.00
loop_
_space_group_symop_operation_xyz
'x,y,z'
'-x,-y,-z'
'-x,y,-z+1/2'
'x,-y,z+1/2'
'x+1/2,y+1/2,z'
'-x+1/2,-y+1/2,-z'
'-x+1/2,y+1/2,-z+1/2'
'x+1/2,-y+1/2,z+1/2'
loop_
_atom_site_label
_atom_site_type_symbol
_atom_site_fract_x
_atom_site_fract_y
_atom_site_fract_z
Na1 Na 0.1228 0.0628 0.0913
Sr1 Sr 0.1204 0.1764 0.5815
Sr2 Sr 0.1230 0.4349 0.5929
Sr3 Sr 0.1245 0.3080 0.0836
Pd1 Pd 0.0000 0.2995 0.7500
Pd2 Pd 0.0000 0.4328 0.2500
```

For the size of the total moment, the calculation gives 0.00 μB/f.u. As for the formation energy: -0.250 eV per atom. The electronic total energy comes out at -2.561 eV per atom.

No. 8
First-principles (PBE-GGA) data for a relaxed AcPm4PrSe8 crystal, as listed in Alexandria.

Geometry as CIF:
```
data_AcPm4PrSe8
_chemical_formula_sum 'Ac3 Pm12 Pr3 Se24'
_space_group_name_H-M_alt 'R 3 m'
_space_group_IT_number 160
_space_group_name_Hall 'R 3 -2"'
_cell_length_a 8.7366
_cell_length_b 8.7366
_cell_length_c 21.5113
_cell_angle_alpha 90.00
_cell_angle_beta 90.00
_cell_angle_gamma 120.00
loop_
_atom_site_label
_atom_site_type_symbol
_atom_site_fract_x
_atom_site_fract_y
_atom_site_fract_z
Ac1 Ac 0.0000 0.0000 0.0000
Pm1 Pm 0.0000 0.0000 0.7487
Pm2 Pm 0.1697 0.3394 0.2069
Pr1 Pr 0.0000 0.0000 0.3768
Se1 Se 0.0000 0.0000 0.1376
Se2 Se 0.0000 0.0000 0.6174
Se3 Se 0.0144 0.5072 0.1279
Se4 Se 0.1827 0.3653 0.9523
```

For the size of the total moment, the calculation gives 0.00 μB/f.u. The electronic total energy comes out at -5.724 eV per atom. The calculation puts the raw formation energy at -1.74 eV/atom.